Here is a relaxed structure of NiOs2 from Alexandria. Energies are from PBE.

a = 4.7813 Å, b = 4.7813 Å, c = 4.7813 Å
α = 102.70°, β = 102.70°, γ = 124.08°
Closest atoms and distances in Å follow each position.
Sites, in units of the cell vectors:
Ni: 0.2500 0.2500 0.0000  2 Ni 2.24
Ni: 0.7500 0.7500 0.0000  2 Ni 2.24
Os: 0.1478 0.6478 0.7956  1 Os 2.50, 4 Ni 2.54
Os: 0.3522 0.1478 0.5000  1 Os 2.50, 4 Ni 2.54
Os: 0.6478 0.8522 0.5000  1 Os 2.50, 4 Ni 2.54
Os: 0.8522 0.3522 0.2044  1 Os 2.50, 4 Ni 2.54

- formation enthalpy at 0 K (eV/atom) = 0.350
- E above lowest polymorph (eV/atom) = 0.310
- Fermi-level density of states (states/eV per atom) = 1.21
- space group = I4/mcm (140)
- size of the total moment (μB/atom) = 0.000

***

Here is a relaxed structure of Tb12Pm2Dy from Alexandria. Energies are from PBE.

a = 6.6358 Å, b = 6.6359 Å, c = 24.6484 Å
α = 84.41°, β = 84.50°, γ = 63.83°
Closest atoms and distances in Å follow each position.
Sites, in units of the cell vectors:
Tb: 0.0000 0.0000 0.0000  8 Tb 3.40-3.52, 2 Dy 3.52
Tb: 0.0114 0.5124 0.9520  2 Dy 3.38, 8 Tb 3.51-3.54
Tb: 0.0785 0.5802 0.6800  5 Tb 3.23-3.51
Tb: 0.1118 0.6155 0.5452  7 Tb 3.27-3.58
Tb: 0.1977 0.1971 0.2102  7 Tb 3.25-3.57
Tb: 0.2303 0.2308 0.0776  7 Tb 3.25-3.54
Tb: 0.2964 0.2978 0.8118  10 Tb 3.51-3.86, 4 Dy 3.66-3.67
Tb: 0.3124 0.8154 0.7450  1 Dy 3.19, 4 Tb 3.23-3.51
Tb: 0.3780 0.8824 0.4765  9 Tb 3.27-3.62
Tb: 0.3926 0.3974 0.4176  9 Tb 3.42-3.62
Tb: 0.4168 0.9161 0.3374  9 Tb 3.41-3.62
Tb: 0.4315 0.4312 0.2778  9 Tb 3.26-3.62
Tb: 0.5000 0.5000 0.0000  8 Tb 3.40-3.52, 2 Dy 3.52
Tb: 0.5114 0.0124 0.9519  2 Dy 3.38, 8 Tb 3.51-3.54
Tb: 0.5785 0.0802 0.6796  5 Tb 3.23-3.51
Tb: 0.6121 0.1160 0.5449  7 Tb 3.27-3.57
Tb: 0.6978 0.6974 0.2102  7 Tb 3.25-3.58
Tb: 0.7302 0.7308 0.0777  7 Tb 3.25-3.54
Tb: 0.7962 0.7979 0.8118  10 Tb 3.51-3.85, 4 Dy 3.66-3.67
Tb: 0.8117 0.3146 0.7449  1 Dy 3.19, 4 Tb 3.23-3.51
Tb: 0.8783 0.3828 0.4763  9 Tb 3.27-3.62
Tb: 0.8927 0.8974 0.4177  9 Tb 3.42-3.62
Tb: 0.9169 0.4162 0.3373  9 Tb 3.41-3.62
Tb: 0.9315 0.9313 0.2779  9 Tb 3.26-3.62
Pm: 0.0955 0.0983 0.6113  2 Pm 3.51, 12 Tb 3.69-3.74
Pm: 0.2138 0.7140 0.1432  2 Pm 3.51, 12 Tb 3.68-3.92
Pm: 0.5955 0.5984 0.6113  2 Pm 3.51, 12 Tb 3.69-3.74
Pm: 0.7139 0.2140 0.1432  2 Pm 3.51, 12 Tb 3.68-3.92
Dy: 0.2802 0.7814 0.8753  5 Tb 3.19-3.52, 2 Dy 3.51
Dy: 0.7805 0.2816 0.8753  5 Tb 3.19-3.52, 2 Dy 3.51

- formation enthalpy at 0 K (eV/atom) = 0.054
- Fermi-level density of states (states/eV per atom) = 1.57
- space group = P1 (1)
- size of the total moment (μB/atom) = 0.000